Record 1
# Cd2SeBr | Alexandria via LeMat-Bulk | PBE | optimized geometry
data_Cd2SeBr
_chemical_formula_sum 'Cd4 Se2 Br2'
_symmetry_space_group_name_H-M 'A m m 2'
_symmetry_Int_Tables_number 38
_symmetry_space_group_name_Hall 'A 2 -2'
_cell_length_a 5.7566
_cell_length_b 5.7427
_cell_length_c 6.6211
_cell_angle_alpha 90.00
_cell_angle_beta 90.00
_cell_angle_gamma 90.00
loop_
_atom_site_label
_atom_site_type_symbol
_atom_site_fract_x
_atom_site_fract_y
_atom_site_fract_z
Cd1 Cd 0.0000 0.0000 0.0000
Cd2 Cd 0.5000 0.0000 0.4217
Se1 Se 0.0000 0.0000 0.4137
Br1 Br 0.5000 0.0000 0.8967
# E in eV per atom: -2.16
# Relative energy among the computed polymorphs in meV/atom: 26

Record 2
# CdSeBr2 | Alexandria via LeMat-Bulk | PBE | optimized geometry
data_CdSeBr2
_chemical_formula_sum 'Cd2 Se2 Br4'
_symmetry_space_group_name_H-M 'C m m m'
_symmetry_Int_Tables_number 65
_symmetry_space_group_name_Hall '-C 2 2'
_cell_length_a 7.1392
_cell_length_b 7.1503
_cell_length_c 3.8725
_cell_angle_alpha 90.00
_cell_angle_beta 90.00
_cell_angle_gamma 90.00
loop_
_atom_site_label
_atom_site_type_symbol
_atom_site_fract_x
_atom_site_fract_y
_atom_site_fract_z
Cd1 Cd 0.0000 0.0000 0.0000
Se1 Se 0.0000 0.5000 0.0000
Br1 Br 0.2500 0.2500 0.5000
# E in eV per atom: -1.68
# Relative energy among the computed polymorphs in meV/atom: 669

Record 3
# Cd2SeBr | Alexandria via LeMat-Bulk | PBE | optimized geometry
data_Cd2SeBr
_chemical_formula_sum 'Cd6 Se3 Br3'
_symmetry_space_group_name_H-M 'R 3 m'
_symmetry_Int_Tables_number 160
_symmetry_space_group_name_Hall 'R 3 -2"'
_cell_length_a 4.2845
_cell_length_b 4.2845
_cell_length_c 22.3799
_cell_angle_alpha 90.00
_cell_angle_beta 90.00
_cell_angle_gamma 120.00
loop_
_atom_site_label
_atom_site_type_symbol
_atom_site_fract_x
_atom_site_fract_y
_atom_site_fract_z
Cd1 Cd 0.0000 0.0000 0.0000
Cd2 Cd 0.0000 0.0000 0.2378
Se1 Se 0.0000 0.0000 0.5314
Br1 Br 0.0000 0.0000 0.7324
# E in eV per atom: -2.04
# Relative energy among the computed polymorphs in meV/atom: 149

Record 4
# Cd2SeBr | Alexandria via LeMat-Bulk | PBE | optimized geometry
data_Cd2SeBr
_chemical_formula_sum 'Cd4 Se2 Br2'
_symmetry_space_group_name_H-M 'C 1 m 1'
_symmetry_Int_Tables_number 8
_symmetry_space_group_name_Hall 'C -2y'
_cell_length_a 13.9363
_cell_length_b 3.8754
_cell_length_c 4.0527
_cell_angle_alpha 90.00
_cell_angle_beta 90.06
_cell_angle_gamma 90.00
loop_
_atom_site_label
_atom_site_type_symbol
_atom_site_fract_x
_atom_site_fract_y
_atom_site_fract_z
Cd1 Cd 0.0000 0.0000 0.0000
Cd2 Cd 0.1997 0.0000 0.4957
Se1 Se 0.1556 0.5000 0.9955
Br1 Br 0.4079 0.0000 0.4984
# E in eV per atom: -2.11
# Relative energy among the computed polymorphs in meV/atom: 78

Record 5
# Cd2SeBr | Alexandria via LeMat-Bulk | PBE | optimized geometry
data_Cd2SeBr
_chemical_formula_sum 'Cd2 Se1 Br1'
_symmetry_space_group_name_H-M 'P 4/m m m'
_symmetry_Int_Tables_number 123
_symmetry_space_group_name_Hall '-P 4 2'
_cell_length_a 3.6516
_cell_length_b 3.6516
_cell_length_c 7.3466
_cell_angle_alpha 90.00
_cell_angle_beta 90.00
_cell_angle_gamma 90.00
loop_
_atom_site_label
_atom_site_type_symbol
_atom_site_fract_x
_atom_site_fract_y
_atom_site_fract_z
Cd1 Cd 0.0000 0.0000 0.2129
Se1 Se 0.5000 0.5000 0.0000
Br1 Br 0.5000 0.5000 0.5000
# E in eV per atom: -1.94
# Relative energy among the computed polymorphs in meV/atom: 244

Record 6
# Cd2SeBr | Alexandria via LeMat-Bulk | PBE | optimized geometry
data_Cd2SeBr
_chemical_formula_sum 'Cd4 Se2 Br2'
_symmetry_space_group_name_H-M 'C 1 2/m 1'
_symmetry_Int_Tables_number 12
_symmetry_space_group_name_Hall '-C 2y'
_cell_length_a 8.1115
_cell_length_b 7.8482
_cell_length_c 4.3076
_cell_angle_alpha 90.00
_cell_angle_beta 119.49
_cell_angle_gamma 90.00
loop_
_atom_site_label
_atom_site_type_symbol
_atom_site_fract_x
_atom_site_fract_y
_atom_site_fract_z
Cd1 Cd 0.2500 0.2500 0.0000
Se1 Se 0.0000 0.0000 0.0000
Br1 Br 0.0000 0.5000 0.0000
# E in eV per atom: -2.04
# Relative energy among the computed polymorphs in meV/atom: 150

| no. | total magnetic moment (μB/f.u.) | calculated volume (Å³/cell) | E_form (uncorrected) (eV/f.u.) |
| --- | --- | --- | --- |
| 1 | 0.000 | 218.9 | -1.66 |
| 2 | 0.001 | 197.7 | 1.02 |
| 3 | 0.000 | 355.8 | -1.16 |
| 4 | 0.000 | 218.9 | -1.45 |
| 5 | 0.000 | 98.0 | -0.78 |
| 6 | 0.000 | 238.7 | -1.16 |